PBE KSr2H, optimized geometry; DOS(E_F) = 0.69 states/eV/atom; excess energy over the best structure of this formula in the dataset = 62 meV/atom; space group = R-3m, No. 166
1.0
-1.0510 1.3840 3.7325
1.5266 -1.8060 3.3704
8.9233 6.9599 2.2026
Sr H K
2 1 1
Cartesian
3.6532 2.1522 7.0430
5.7458 4.3857 2.2624
4.6995 3.2690 4.6527
0.0000 0.0000 0.0000